DFT (PBE-GGA) results for crystalline FeTeOs2 at its relaxed geometry.

Cell: 3.1479 3.1473 6.3384 Å, 90.00 90.00 90.00°
Last column: nearest neighbours and their distance in Å.
Atoms (fractional coordinates):
Te (0.5000, 0.5000, 0.2500)  8 Os 2.85, 4 Te 3.15, 2 Fe 3.17
Os (0.0000, 0.0000, 0.9702)  4 Fe 2.63, 1 Os 2.79, 4 Te 2.85
Os (0.0000, 0.0000, 0.5298)  4 Fe 2.63, 1 Os 2.79, 4 Te 2.85
Fe (0.5000, 0.5000, 0.7500)  8 Os 2.63

## Properties
**Space group**: P4/mmm (123)
**ΔE_f (raw)**: 2.6 eV per formula unit
**Spin magnetization**: 3.4 Bohr magnetons per cell
**Fermi-level density of states**: 0.624 states/eV per atom
**Raw total energy**: -0.290 hartree per atom

***

DFT (PBE-GGA) results for crystalline SrZrAl at its relaxed geometry.

Cell: 5.0821 5.0821 5.0821 Å, 60.00 60.00 60.00°
Last column: nearest neighbours and their distance in Å.
Atoms (fractional coordinates):
Sr (0.0000, 0.0000, 0.0000)  4 Al 3.11
Al (0.7500, 0.7500, 0.7500)  4 Zr 3.11, 4 Sr 3.11
Zr (0.5000, 0.5000, 0.5000)  4 Al 3.11

## Properties
**Space group**: F-43m (216)
**Spin magnetization**: 0.6 Bohr magnetons per cell
**Fermi-level density of states**: 1.565 states/eV per atom
**Distance to the lowest polymorph of the same formula**: 121.8 kJ/mol of formula units
**Raw total energy**: -0.153 hartree per atom

***

DFT (PBE-GGA) results for crystalline MgZrScTc at its relaxed geometry.

Cell: 3.3394 3.3394 7.3963 Å, 90.00 90.00 90.00°
Last column: nearest neighbours and their distance in Å.
Atoms (fractional coordinates):
Zr (0.5000, 0.5000, 0.7753)  4 Tc 2.78, 1 Sc 3.06
Tc (0.0000, 0.0000, 0.5774)  4 Zr 2.78, 4 Sc 2.85
Sc (0.5000, 0.5000, 0.3620)  4 Tc 2.85, 1 Zr 3.06
Mg (0.0000, 0.0000, 0.0700)  4 Sc 3.20, 4 Zr 3.21, 4 Mg 3.34

## Properties
**Space group**: P4mm (99)
**Spin magnetization**: 0.0 Bohr magnetons per cell
**Fermi-level density of states**: 0.691 states/eV per atom
**Distance to the lowest polymorph of the same formula**: 0.0 kJ/mol of formula units
**Raw total energy**: -0.255 hartree per atom

***

DFT (PBE-GGA) results for crystalline Li3Nd2Ni2 at its relaxed geometry.

Cell: 3.7966 3.9433 10.6550 Å, 100.66 90.00 90.00°
Last column: nearest neighbours and their distance in Å.
Atoms (fractional coordinates):
Li (0.5000, 0.4289, 0.8579)  5 Li 2.98-3.12, 1 Ni 3.03
Li (0.0000, 0.0000, 0.0000)  8 Li 3.12
Li (0.5000, 0.5711, 0.1421)  5 Li 2.98-3.12, 1 Ni 3.03
Ni (0.5000, 0.7158, 0.4316)  2 Ni 2.44
Ni (0.5000, 0.2842, 0.5684)  2 Ni 2.44
Nd (0.0000, 0.8281, 0.6562)  6 Ni 2.89-3.02
Nd (0.0000, 0.1719, 0.3438)  6 Ni 2.89-3.02

## Properties
**Space group**: Cmmm (65)
**Spin magnetization**: 0.0 Bohr magnetons per cell
**Fermi-level density of states**: 0.604 states/eV per atom
**Raw total energy**: -0.146 hartree per atom

***

DFT (PBE-GGA) results for crystalline AlFe3H at its relaxed geometry.

Cell: 4.7531 6.5176 6.9735 Å, 90.00 90.00 90.00°
Last column: nearest neighbours and their distance in Å.
Atoms (fractional coordinates):
Al (0.0000, 0.5000, 0.5000)  10 Fe 2.47-2.67
Al (0.5000, 0.0000, 0.0000)  10 Fe 2.47-2.67
Al (0.5000, 0.5000, 0.0000)  10 Fe 2.47-2.67
Al (0.0000, 0.0000, 0.5000)  10 Fe 2.47-2.67
Fe (0.2498, 0.7500, 0.2498)  2 H 1.80
Fe (0.0002, 0.5741, 0.8472)  1 H 1.86
Fe (0.4998, 0.4259, 0.3472)  1 H 1.86
Fe (0.9998, 0.4259, 0.1528)  1 H 1.86
Fe (0.2502, 0.2500, 0.7498)  2 H 1.80
Fe (0.0002, 0.9259, 0.8472)  1 H 1.86
Fe (0.4998, 0.0741, 0.3472)  1 H 1.86
Fe (0.7498, 0.7500, 0.2502)  2 H 1.80
Fe (0.7502, 0.2500, 0.7502)  2 H 1.80
Fe (0.5002, 0.9259, 0.6528)  1 H 1.86
Fe (0.5002, 0.5741, 0.6528)  1 H 1.86
Fe (0.9998, 0.0741, 0.1528)  1 H 1.86
H (0.4996, 0.7500, 0.4431)  4 Fe 1.80-1.86
H (0.9996, 0.7500, 0.0569)  4 Fe 1.80-1.86
H (0.0004, 0.2500, 0.9431)  4 Fe 1.80-1.86
H (0.5004, 0.2500, 0.5569)  4 Fe 1.80-1.86

## Properties
**Space group**: Imma (74)
**Spin magnetization**: 24.8 Bohr magnetons per cell
**Fermi-level density of states**: 0.752 states/eV per atom
**Distance to the lowest polymorph of the same formula**: 125.3 kJ/mol of formula units
**Raw total energy**: -0.236 hartree per atom

***

DFT (PBE-GGA) results for crystalline Li2NpTiN4 at its relaxed geometry.

Cell: 3.2764 5.4293 5.3017 Å, 107.51 90.00 90.00°
Last column: nearest neighbours and their distance in Å.
Atoms (fractional coordinates):
N (0.0000, 0.7434, 0.2158)  1 Ti 2.05, 2 Np 2.20, 1 Li 2.28
N (0.0000, 0.2566, 0.7842)  1 Ti 2.05, 2 Np 2.20, 1 Li 2.28
N (0.5000, 0.7663, 0.7925)  1 Np 2.06, 2 Ti 2.16, 1 Li 2.28
N (0.5000, 0.2337, 0.2075)  1 Np 2.06, 2 Ti 2.16, 1 Li 2.28
Ti (0.0000, 0.0000, 0.0000)  6 N 2.05-2.16
Li (0.5000, 0.0000, 0.5000)  6 N 2.28-2.37
Li (0.0000, 0.5000, 0.5000)  6 N 2.28-2.41
Np (0.5000, 0.5000, 0.0000)  6 N 2.06-2.20

## Properties
**Space group**: P2/m (10)
**ΔE_f (raw)**: -8.1 eV per formula unit
**Spin magnetization**: 1.0 Bohr magnetons per cell
**Fermi-level density of states**: 0.332 states/eV per atom
**Raw total energy**: -0.303 hartree per atom